Entry 1:
Entry from the Alexandria database: CaTeP2 after structural relaxation (GGA-PBEsol).

## Properties
The raw total energy is -4.740 eV per atom. The volume comes out at 84.1 Å³ per cell. As for the density of states at the Fermi level: 0.41 states/eV/atom. The value obtained for the size of the total moment is 0.0 μB/f.u. The value obtained for the uncorrected formation energy is -0.4293 eV/atom.

a b c (Å): 3.4066 5.2776 5.6322
angles (deg): 117.94 107.60 90.00
Closest atoms and distances in Å follow each position.
Fractional positions:
Ca (0.7326, 0.2326, 0.4653)  8 P 3.14-3.33, 4 Te 3.23-3.27, 2 Ca 3.41
P (0.9501, 0.9501, 0.9003)  2 P 2.26
P (0.2912, 0.7912, 0.5824)  2 P 2.26
Te (0.5260, 0.5260, 0.0520)  6 P 3.01-3.22, 4 Ca 3.23-3.27

Entry 2:
Entry from the Alexandria database: CaTlP2 after structural relaxation (GGA-PBEsol).

## Properties
The raw total energy is -4.253 eV per atom. The volume comes out at 82.1 Å³ per cell. As for the density of states at the Fermi level: 0.40 states/eV/atom. The value obtained for the size of the total moment is 0.0 μB/f.u. As for the offset from the most stable computed form: 270 meV per atom.

a b c (Å): 4.3717 4.3717 5.2925
angles (deg): 114.39 114.39 90.00
Closest atoms and distances in Å follow each position.
Fractional positions:
Ca (0.0000, 0.0000, 0.0000)  8 P 3.06, 4 Tl 3.09
P (0.7500, 0.2500, 0.5000)  4 Tl 3.06, 4 Ca 3.06, 4 P 3.09
P (0.2500, 0.7500, 0.5000)  4 Tl 3.06, 4 Ca 3.06, 4 P 3.09
Tl (0.5000, 0.5000, 0.0000)  8 P 3.06, 4 Ca 3.09

Entry 3:
Entry from the Alexandria database: CaTlP2 after structural relaxation (GGA-PBEsol).

## Properties
The raw total energy is -4.179 eV per atom. The volume comes out at 85.8 Å³ per cell. As for the density of states at the Fermi level: 0.45 states/eV/atom. The value obtained for the size of the total moment is 0.0 μB/f.u. As for the offset from the most stable computed form: 344 meV per atom.

a b c (Å): 3.1456 3.1456 8.6753
angles (deg): 90.00 90.00 90.00
Closest atoms and distances in Å follow each position.
Fractional positions:
Ca (0.5000, 0.5000, 0.5000)  8 P 2.97, 4 Ca 3.15
P (0.0000, 0.0000, 0.7274)  4 Ca 2.97, 4 P 3.15, 4 Tl 3.25
P (0.0000, 0.0000, 0.2726)  4 Ca 2.97, 4 P 3.15, 4 Tl 3.25
Tl (0.5000, 0.5000, 0.0000)  4 Tl 3.15, 8 P 3.25